[1]
A plane-wave DFT calculation with GGA-PBE was carried out for a relaxed structure of Rb2SnHg2Te4.

Output
The energy relative to the elements, uncorrected comes out at -509 meV/atom. The density of states at the Fermi level is 0.025 states/eV per atom. The total moment comes out at 0.00 μB per formula unit. As for the total energy: -2.63 eV per atom.

abc: 17.3597 4.7297 8.7002
angles: 90.00 108.97 90.00
Last column: nearest neighbours and their distance in Å.
Space group C2/m (No. 12)
Inequivalent atoms, fractional coordinates:
Rb: 0.1294 0.0000 0.0697  7 Te 3.81-3.91, 2 Hg 4.15, 1 Rb 4.26
Sn: 0.0000 0.0000 0.5000  6 Te 3.26-3.31
Hg: 0.1653 0.5000 0.4785  4 Te 2.80-3.12
Te: 0.0091 0.5000 0.2485  1 Hg 2.80
Te: 0.1995 0.0000 0.6862  3 Hg 2.92-3.12



[2]
A plane-wave DFT calculation with GGA-PBE was carried out for a relaxed structure of Tb7Nd2Th2.

Output
The density of states at the Fermi level is 1.553 states/eV per atom. The total moment comes out at 0.00 μB per formula unit. As for the total energy: -4.98 eV per atom. As for the energy relative to the elements: 2.00 eV per formula unit.

abc: 11.1800 11.5710 6.1503
angles: 90.00 113.34 90.00
Last column: nearest neighbours and their distance in Å.
Space group C2/m (No. 12)
Inequivalent atoms, fractional coordinates:
Tb: 0.0000 0.0000 0.0000  6 Tb 3.29-3.53
Tb: 0.1715 0.2387 0.1670  4 Tb 3.20-3.56, 2 Nd 3.32-3.46
Tb: 0.2441 0.0000 0.5801  5 Tb 3.36-3.62, 3 Th 3.46-3.57, 2 Nd 3.59
Nd: 0.0000 0.2158 0.5000  6 Tb 3.32-3.59
Th: 0.0900 0.5000 0.8115  7 Tb 3.46-3.80, 2 Th 3.55-3.62, 2 Nd 3.74



[3]
A plane-wave DFT calculation with GGA-PBE was carried out for a relaxed structure of BaEu2Ag.

Output
The density of states at the Fermi level is 4.575 states/eV per atom. The total moment comes out at 14.91 μB per formula unit. As for the total energy: -6.45 eV per atom. As for the energy relative to the elements: -0.47 eV per formula unit.

abc: 3.9636 3.9636 10.0709
angles: 90.00 90.00 90.00
Last column: nearest neighbours and their distance in Å.
Space group P4/mmm (No. 123)
Inequivalent atoms, fractional coordinates:
Ba: 0.0000 0.0000 0.0000  4 Ba 3.96, 8 Eu 4.29
Eu: 0.5000 0.5000 0.3222  4 Ag 3.33, 1 Eu 3.58
Ag: 0.0000 0.0000 0.5000  8 Eu 3.33



[4]
A plane-wave DFT calculation with GGA-PBE was carried out for a relaxed structure of TmHIBr.

Output
The density of states at the Fermi level is 0.000 states/eV per atom. The total moment comes out at 0.00 μB per formula unit. As for the total energy: -4.08 eV per atom.

abc: 6.7010 3.8694 8.2027
angles: 90.00 105.87 90.00
Last column: nearest neighbours and their distance in Å.
Space group Cm (No. 8)
Inequivalent atoms, fractional coordinates:
Tm: 0.0000 0.0000 0.0000  3 H 2.23
H: 0.3317 0.0000 0.9954  3 Tm 2.23
I: 0.0764 0.5000 0.7307  3 H 3.06, 3 Tm 3.08
Br: 0.2456 0.5000 0.2362  3 Tm 2.91, 3 H 2.93



[5]
A plane-wave DFT calculation with GGA-PBE was carried out for a relaxed structure of Tl2Zn2Sb.

Output
The energy relative to the elements, uncorrected comes out at 236 meV/atom. The density of states at the Fermi level is 0.458 states/eV per atom. The total moment comes out at 0.00 μB per formula unit. As for the total energy: -2.04 eV per atom.

abc: 8.6381 8.6381 3.3714
angles: 90.00 90.00 90.00
Last column: nearest neighbours and their distance in Å.
Space group P4/mbm (No. 127)
Inequivalent atoms, fractional coordinates:
Tl: 0.1908 0.3092 0.0000  6 Zn 2.98-3.16, 2 Sb 3.14
Zn: 0.1078 0.6078 0.5000  1 Zn 2.63
Sb: 0.0000 0.0000 0.0000  4 Tl 3.14, 2 Sb 3.37



[6]
A plane-wave DFT calculation with GGA-PBE was carried out for a relaxed structure of CaPr6Zn2.

Output
The density of states at the Fermi level is 0.992 states/eV per atom. The total moment comes out at 0.00 μB per formula unit. As for the total energy: -3.81 eV per atom. As for the energy relative to the elements: -1.11 eV per formula unit.

abc: 13.1135 3.7495 12.3069
angles: 90.00 109.64 90.00
Last column: nearest neighbours and their distance in Å.
Space group C2/m (No. 12)
Inequivalent atoms, fractional coordinates:
Ca: 0.0000 0.0000 0.0000  4 Zn 3.20
Pr: 0.0248 0.0000 0.3294  2 Zn 3.17, 1 Pr 3.52
Pr: 0.1907 0.5000 0.5916  2 Zn 3.29, 4 Pr 3.45-3.66
Pr: 0.1944 0.5000 0.8732  2 Zn 3.18, 3 Pr 3.45-3.51
Zn: 0.1460 0.5000 0.2038  6 Pr 3.17-3.29, 2 Ca 3.20



[7]
A plane-wave DFT calculation with GGA-PBE was carried out for a relaxed structure of Tb2Pr2HoEr.

Output
The density of states at the Fermi level is 1.500 states/eV per atom. The total moment comes out at 0.00 μB per formula unit. As for the total energy: -4.60 eV per atom. As for the energy relative to the elements: 0.39 eV per formula unit.

abc: 7.0458 5.6706 9.8409
angles: 90.00 90.00 90.00
Last column: nearest neighbours and their distance in Å.
Space group Pmma (No. 51)
Inequivalent atoms, fractional coordinates:
Tb: 0.2500 0.0000 0.1642  2 Ho 3.33, 7 Pr 3.37-3.71
Tb: 0.2500 0.5000 0.6667  3 Ho 3.20-3.52, 2 Pr 3.22
Pr: 0.0000 0.5000 0.0000  6 Pr 3.52-3.77, 6 Tb 3.71-3.72, 2 Ho 3.79
Pr: 0.2500 0.0000 0.8220  5 Tb 3.22-3.53
Ho: 0.2500 0.5000 0.3411  5 Tb 3.20-3.52
Er: 0.0000 0.0000 0.5000  2 Er 3.52, 2 Pr 3.63, 4 Ho 3.69, 6 Tb 3.72-3.75



[8]
A plane-wave DFT calculation with GGA-PBE was carried out for a relaxed structure of Ba2CrSi.

Output
The energy relative to the elements, uncorrected comes out at 338 meV/atom. The density of states at the Fermi level is 0.875 states/eV per atom. The total moment comes out at 3.78 μB per formula unit. As for the total energy: -4.38 eV per atom.

abc: 12.1642 12.1642 4.7160
angles: 90.00 90.00 90.00
Last column: nearest neighbours and their distance in Å.
Space group I-42d (No. 122)
Inequivalent atoms, fractional coordinates:
Ba: 0.0729 0.2500 0.1250  2 Cr 3.22
Cr: 0.0000 0.0000 0.0000  2 Si 2.36
Si: 0.0000 0.0000 0.5000  2 Cr 2.36



[9]
A plane-wave DFT calculation with GGA-PBE was carried out for a relaxed structure of SbPdIN2.

Output
The energy relative to the elements, uncorrected comes out at 1593 meV/atom. The density of states at the Fermi level is 0.506 states/eV per atom. The total moment comes out at 2.65 μB per formula unit. As for the total energy: -3.91 eV per atom.

abc: 4.2579 4.2579 5.6562
angles: 90.00 90.00 90.00
Last column: nearest neighbours and their distance in Å.
Space group P4/mmm (No. 123)
Inequivalent atoms, fractional coordinates:
Sb: 0.0000 0.0000 0.0000  4 I 3.01
Pd: 0.5000 0.5000 0.5000  4 N 2.13
I: 0.5000 0.5000 0.0000  2 Pd 2.83, 4 Sb 3.01
N: 0.0000 0.5000 0.5000  2 Pd 2.13



[10]
A plane-wave DFT calculation with GGA-PBE was carried out for a relaxed structure of CaTl2Sb2.

Output
The energy relative to the elements, uncorrected comes out at -313 meV/atom. The density of states at the Fermi level is 0.529 states/eV per atom. The total moment comes out at 0.00 μB per formula unit. As for the total energy: -3.31 eV per atom.

abc: 4.5524 28.7887 4.5827
angles: 90.00 90.00 90.00
Last column: nearest neighbours and their distance in Å.
Space group Cmcm (No. 63)
Inequivalent atoms, fractional coordinates:
Ca: 0.0000 0.1642 0.2500  8 Sb 3.31-3.37
Tl: 0.0000 0.0568 0.7500  4 Tl 3.23, 2 Sb 3.29
Tl: 0.0000 0.4462 0.7500  4 Tl 3.23, 2 Sb 3.37
Sb: 0.0000 0.2501 0.7500  4 Sb 3.23, 4 Ca 3.36-3.37
Sb: 0.0000 0.3605 0.2500  4 Tl 3.29-3.37, 4 Ca 3.31



[11]
A plane-wave DFT calculation with GGA-PBE was carried out for a relaxed structure of DyErTe2O8.

Output
The energy relative to the elements, uncorrected comes out at -1954 meV/atom. The density of states at the Fermi level is 0.156 states/eV per atom. The total moment comes out at 0.00 μB per formula unit. As for the total energy: -6.55 eV per atom.

abc: 7.3285 7.3285 6.8462
angles: 90.00 90.00 90.00
Last column: nearest neighbours and their distance in Å.
Space group I-4m2 (No. 119)
Inequivalent atoms, fractional coordinates:
Dy: 0.0000 0.0000 0.0000  8 O 2.33-2.45
Er: 0.0000 0.5000 0.2500  8 O 2.31-2.44
Te: 0.0000 0.0000 0.5000  4 O 1.95
Te: 0.0000 0.5000 0.7500  4 O 1.94
O: 0.0000 0.1872 0.2969  1 Te 1.95
O: 0.0000 0.3151 0.9534  1 Te 1.94



[12]
A plane-wave DFT calculation with GGA-PBE was carried out for a relaxed structure of TiNbSbO2.

Output
The energy relative to the elements, uncorrected comes out at 349 meV/atom. The density of states at the Fermi level is 0.721 states/eV per atom. The total moment comes out at 1.25 μB per formula unit. As for the total energy: -6.05 eV per atom.

abc: 4.0137 4.0137 5.5897
angles: 90.00 90.00 90.00
Last column: nearest neighbours and their distance in Å.
Space group P4/mmm (No. 123)
Inequivalent atoms, fractional coordinates:
Ti: 0.0000 0.0000 0.0000  2 Sb 2.79, 4 Nb 2.84
Nb: 0.5000 0.5000 0.0000  4 Ti 2.84
Sb: 0.0000 0.0000 0.5000  4 O 2.01
O: 0.0000 0.5000 0.5000  2 Sb 2.01



[13]
A plane-wave DFT calculation with GGA-PBE was carried out for a relaxed structure of AcSm4In5.

Output
The density of states at the Fermi level is 0.551 states/eV per atom. The total moment comes out at 0.00 μB per formula unit. As for the total energy: -4.14 eV per atom. As for the energy relative to the elements: -4.74 eV per formula unit.

abc: 3.8777 3.8777 19.5023
angles: 90.00 90.00 90.00
Last column: nearest neighbours and their distance in Å.
Space group P4/mmm (No. 123)
Inequivalent atoms, fractional coordinates:
Ac: 0.0000 0.0000 0.0000  8 In 3.54, 4 Ac 3.88
Sm: 0.0000 0.0000 0.2102  8 In 3.31-3.34
Sm: 0.0000 0.0000 0.4037  8 In 3.32
In: 0.5000 0.5000 0.1152  4 Sm 3.31, 4 Ac 3.54
In: 0.5000 0.5000 0.3076  8 Sm 3.32-3.34
In: 0.5000 0.5000 0.5000  8 Sm 3.32



[14]
A plane-wave DFT calculation with GGA-PBE was carried out for a relaxed structure of Rb3Sm3CrS8.

Output
The energy relative to the elements, uncorrected comes out at -1490 meV/atom. The density of states at the Fermi level is 0.562 states/eV per atom. The total moment comes out at 1.97 μB per formula unit. As for the total energy: -5.47 eV per atom.

abc: 7.9968 7.9968 23.5981
angles: 90.00 90.00 120.00
Last column: nearest neighbours and their distance in Å.
Space group R-3m (No. 166, hexagonal axes)
Inequivalent atoms, fractional coordinates:
Rb: 0.0000 0.5000 0.0000  6 S 3.31-3.35
Sm: 0.0000 0.5000 0.5000  6 S 2.78-2.82
Cr: 0.0000 0.0000 0.5000  6 S 2.48
S: 0.0000 0.0000 0.2327  3 Sm 2.78
S: 0.0374 0.5187 0.2259  1 Cr 2.48



[15]
A plane-wave DFT calculation with GGA-PBE was carried out for a relaxed structure of InGaHg2F.

Output
The energy relative to the elements, uncorrected comes out at -517 meV/atom. The density of states at the Fermi level is 0.487 states/eV per atom. The total moment comes out at 0.00 μB per formula unit. As for the total energy: -2.16 eV per atom.

abc: 5.4352 5.4352 4.1779
angles: 90.00 90.00 90.00
Last column: nearest neighbours and their distance in Å.
Space group P4/mmm (No. 123)
Inequivalent atoms, fractional coordinates:
In: 0.0000 0.0000 0.0000  8 Hg 3.43
Ga: 0.5000 0.5000 0.5000  2 F 2.09
Hg: 0.0000 0.5000 0.5000  2 Ga 2.72
F: 0.5000 0.5000 0.0000  2 Ga 2.09



[16]
A plane-wave DFT calculation with GGA-PBE was carried out for a relaxed structure of Zr3VNi.

Output
The density of states at the Fermi level is 1.670 states/eV per atom. The total moment comes out at 2.85 μB per formula unit. As for the total energy: -7.58 eV per atom. As for the energy relative to the elements: 2.63 eV per formula unit.

abc: 4.8472 4.8472 4.8472
angles: 90.00 90.00 90.00
Last column: nearest neighbours and their distance in Å.
Space group Pm-3m (No. 221)
Inequivalent atoms, fractional coordinates:
Zr: 0.0000 0.0000 0.5000  2 Ni 2.42
V: 0.5000 0.5000 0.5000  12 Zr 3.43
Ni: 0.0000 0.0000 0.0000  6 Zr 2.42



[17]
A plane-wave DFT calculation with GGA-PBE was carried out for a relaxed structure of Ba2MoN3.

Output
The energy relative to the elements, uncorrected comes out at -779 meV/atom. The density of states at the Fermi level is 0.389 states/eV per atom. The total moment comes out at 0.00 μB per formula unit. As for the total energy: -7.39 eV per atom.

abc: 6.6803 13.3962 6.0981
angles: 90.00 116.97 90.00
Last column: nearest neighbours and their distance in Å.
Space group P2_1/c (No. 14)
Inequivalent atoms, fractional coordinates:
Ba: 0.1299 0.1338 0.0654  4 N 2.75-3.08
Ba: 0.2796 0.5857 0.1386  7 N 2.78-3.10
Mo: 0.4792 0.1620 0.7404  4 N 1.86-1.95
N: 0.1791 0.1228 0.5920  1 Mo 1.86
N: 0.3155 0.5544 0.6594  1 Mo 1.89
N: 0.4690 0.7498 0.4837  2 Mo 1.95



[18]
A plane-wave DFT calculation with GGA-PBE was carried out for a relaxed structure of Ca2In2Ni15.

Output
The density of states at the Fermi level is 1.330 states/eV per atom. The total moment comes out at 4.18 μB per formula unit. As for the total energy: -5.12 eV per atom. As for the energy relative to the elements: -1.13 eV per formula unit.

abc: 8.5255 8.5255 12.3875
angles: 90.00 90.00 120.00
Last column: nearest neighbours and their distance in Å.
Space group R-3m (No. 166, hexagonal axes)
Inequivalent atoms, fractional coordinates:
Ca: 0.0000 0.0000 0.1445  12 Ni 2.94-3.12, 1 In 3.04
In: 0.0000 0.0000 0.3902  6 Ni 2.56-2.63, 1 In 2.72
Ni: 0.0000 0.3000 0.5000  8 Ni 2.44-2.57
Ni: 0.0000 0.5000 0.0000  8 Ni 2.44-2.48, 2 In 2.56
Ni: 0.0029 0.5015 0.6545  8 Ni 2.46-2.57, 1 In 2.63



[19]
A plane-wave DFT calculation with GGA-PBE was carried out for a relaxed structure of Ba6MgAg2.

Output
The density of states at the Fermi level is 1.286 states/eV per atom. The total moment comes out at 0.02 μB per formula unit. As for the total energy: -2.22 eV per atom. As for the energy relative to the elements: -1.15 eV per formula unit.

abc: 11.2917 11.6934 12.5206
angles: 90.00 90.00 90.00
Last column: nearest neighbours and their distance in Å.
Space group Immm (No. 71)
Inequivalent atoms, fractional coordinates:
Ba: 0.0000 0.1902 0.2452  1 Ag 3.45, 1 Mg 3.79
Ba: 0.1899 0.5000 0.1688  3 Ag 3.43-3.64
Ba: 0.2192 0.3214 0.5000  3 Ag 3.55-3.60, 1 Mg 3.80
Mg: 0.0000 0.0000 0.0000  8 Ba 3.79-3.80, 2 Ag 3.80
Mg: 0.0000 0.0000 0.5000  8 Ba 3.89-4.09
Ag: 0.0000 0.3251 0.0000  8 Ba 3.45-3.64, 1 Mg 3.80
Ag: 0.0000 0.5000 0.3830  1 Ag 2.93



[20]
A plane-wave DFT calculation with GGA-PBE was carried out for a relaxed structure of K3BaH.

Output
The density of states at the Fermi level is 0.087 states/eV per atom. The total moment comes out at 2.03 μB per formula unit. As for the total energy: -1.56 eV per atom.

abc: 6.2591 6.2591 6.2591
angles: 90.00 90.00 90.00
Last column: nearest neighbours and their distance in Å.
Space group Pm-3m (No. 221)
Inequivalent atoms, fractional coordinates:
K: 0.0000 0.0000 0.5000  2 H 3.13
Ba: 0.5000 0.5000 0.5000  12 K 4.43
H: 0.0000 0.0000 0.0000  6 K 3.13